Density functional theory data (PBE-GGA) for a geometry-optimized Sr2Ga3Pt structure.

```
Sr2Ga3Pt
1.0
4.388 0.000 0.000
0.000 4.416 0.000
0.000 0.000 7.797
Sr Ga Pt
2 3 1
Direct
0.000 0.500 0.013
0.000 0.000 0.490
0.500 0.000 0.832
0.500 0.000 0.171
0.500 0.500 0.662
0.500 0.500 0.333
```

Properties
Space group ... Pmm2
Total magnetic moment ... 0.000 μB/atom
Energy of formation from the pure elements ... -3.90 eV per formula unit
DFT total energy ... -3.73 eV per atom

=====

Density functional theory data (PBE-GGA) for a geometry-optimized Cs3U2AgSe9 structure.

```
Cs3U2AgSe9
1.0
7.727 0.000 0.000
-3.864 6.692 0.000
0.000 0.000 9.589
Cs U Ag Se
3 2 1 9
Direct
0.333 0.667 0.655
0.000 0.000 0.000
0.667 0.333 0.345
0.333 0.667 0.170
0.667 0.333 0.830
0.000 0.000 0.500
0.830 0.170 0.680
0.830 0.660 0.680
0.340 0.170 0.680
0.660 0.830 0.320
0.170 0.340 0.320
0.170 0.830 0.320
0.500 0.000 0.000
0.000 0.500 0.000
0.500 0.500 0.000
```

Properties
Space group ... P-3m1
Total magnetic moment ... 0.000 μB/atom
Formation energy without anion corrections ... -897 meV per atom
DFT total energy ... -4.85 eV per atom

=====

Density functional theory data (PBE-GGA) for a geometry-optimized NdHoCdAu structure.

```
NdHoCdAu
1.0
3.702 0.000 0.000
0.000 3.702 0.000
0.000 0.000 7.508
Nd Ho Cd Au
1 1 1 1
Direct
0.000 0.000 0.866
0.000 0.000 0.339
0.500 0.500 0.590
0.500 0.500 0.132
```

Properties
Space group ... P4mm
Total magnetic moment ... 0.048 μB/atom
Energy of formation from the pure elements ... -2.27 eV per formula unit
Relative energy among the computed polymorphs ... 0.0 meV per atom
DFT total energy ... -3.95 eV per atom

=====

Density functional theory data (PBE-GGA) for a geometry-optimized Ba2VFe2 structure.

```
Ba2VFe2
1.0
6.786 0.000 0.000
0.000 6.786 0.000
0.000 0.000 5.424
Fe Ba V
4 4 2
Direct
0.376 0.876 0.000
0.876 0.624 0.000
0.624 0.124 0.000
0.124 0.376 0.000
0.181 0.681 0.500
0.681 0.819 0.500
0.819 0.319 0.500
0.319 0.181 0.500
0.000 0.000 0.000
0.500 0.500 0.000
```

Properties
Space group ... P4/mbm
Total magnetic moment ... 0.234 μB/atom
Energy of formation from the pure elements ... 3.88 eV per formula unit
Relative energy among the computed polymorphs ... 0.0 meV per atom
DFT total energy ... -5.20 eV per atom

=====

Density functional theory data (PBE-GGA) for a geometry-optimized RhPb4Se structure.

```
RhPb4Se
1.0
0.000 4.420 4.420
4.420 0.000 4.420
4.420 4.420 0.000
Rh Pb Se
1 4 1
Direct
0.750 0.750 0.750
0.873 0.376 0.376
0.376 0.376 0.873
0.376 0.873 0.376
0.376 0.376 0.376
0.000 0.000 0.000
```

Properties
Space group ... F-43m
Total magnetic moment ... 0.000 μB/atom
Formation energy without anion corrections ... 616 meV per atom
DFT total energy ... -3.66 eV per atom

=====

Density functional theory data (PBE-GGA) for a geometry-optimized Sm3Cd5 structure.

```
Sm3Cd5
1.0
-3.621 -1.232 1.260
1.308 -7.106 -3.188
2.116 1.425 7.475
Sm Cd
3 5
Direct
0.500 0.000 0.610
0.500 0.610 0.000
0.500 0.390 0.390
0.000 0.667 0.333
0.000 0.333 0.667
0.000 0.000 0.231
0.000 0.231 0.000
0.000 0.769 0.769
```

Properties
Space group ... P-62m
Total magnetic moment ... 0.000 μB/atom
Energy of formation from the pure elements ... -1.95 eV per formula unit
Relative energy among the computed polymorphs ... 45.6 meV per atom
DFT total energy ... -2.59 eV per atom

=====

Density functional theory data (PBE-GGA) for a geometry-optimized Zr2BeHg structure.

```
Zr2BeHg
1.0
-5.372 -3.910 -0.514
3.792 -0.458 -3.224
0.261 -3.160 0.749
Be Hg Zr
1 1 2
Direct
0.000 0.500 0.500
0.500 0.500 0.000
0.000 0.000 0.000
0.500 0.000 0.500
```

Properties
Space group ... C2/m
Total magnetic moment ... 0.000 μB/atom
Energy of formation from the pure elements ... 0.04 eV per formula unit
Relative energy among the computed polymorphs ... 115.7 meV per atom
DFT total energy ... -5.27 eV per atom

=====

Density functional theory data (PBE-GGA) for a geometry-optimized MnSiMo structure.

```
MnSiMo
1.0
-0.112 -3.813 1.313
3.487 1.604 -1.243
0.520 0.876 2.588
Mn Mo Si
1 1 1
Direct
0.000 0.000 0.862
0.667 0.333 0.320
0.333 0.667 0.818
```

Properties
Space group ... P3m1
Total magnetic moment ... 0.000 μB/atom
Formation energy without anion corrections ... -208 meV per atom
DFT total energy ... -8.68 eV per atom

=====

Density functional theory data (PBE-GGA) for a geometry-optimized K2P2Cl structure.

```
K2P2Cl
1.0
8.546 0.000 0.000
0.000 8.546 0.000
0.000 0.000 4.227
P K Cl
4 4 2
Direct
0.418 0.918 0.000
0.918 0.582 0.000
0.582 0.082 0.000
0.082 0.418 0.000
0.207 0.707 0.500
0.707 0.793 0.500
0.793 0.293 0.500
0.293 0.207 0.500
0.000 0.000 0.000
0.500 0.500 0.000
```

Properties
Space group ... P4/mbm
Total magnetic moment ... 0.000 μB/atom
Formation energy without anion corrections ... -665 meV per atom
Relative energy among the computed polymorphs ... 99.4 meV per atom
DFT total energy ... -3.64 eV per atom

=====

Density functional theory data (PBE-GGA) for a geometry-optimized MgRuW structure.

```
MgRuW
1.0
4.258 0.000 0.000
2.129 3.688 0.000
2.129 1.229 3.477
Mg Ru W
1 1 1
Direct
0.500 0.500 0.500
0.750 0.750 0.750
0.000 0.000 0.000
```

Properties
Space group ... F-43m
Total magnetic moment ... 0.000 μB/atom
Energy of formation from the pure elements ... 1.53 eV per formula unit
Relative energy among the computed polymorphs ... 429.9 meV per atom
DFT total energy ... -7.43 eV per atom

=====

Density functional theory data (PBE-GGA) for a geometry-optimized La4TePb2 structure.

```
La4TePb2
1.0
8.012 0.000 -2.837
-4.006 6.941 -2.832
-0.001 0.000 8.500
La Te Pb
8 2 4
Direct
0.121 0.891 0.376
0.624 0.745 0.515
0.980 0.609 0.735
0.265 0.245 0.874
0.629 0.755 0.020
0.770 0.255 0.879
0.485 0.109 0.230
0.126 0.391 0.371
0.000 0.000 0.000
0.750 0.500 0.250
0.875 0.125 0.500
0.500 0.375 0.625
0.375 0.875 0.750
0.250 0.625 0.125
```

Properties
Space group ... I-42d
Total magnetic moment ... 0.000 μB/atom
Formation energy without anion corrections ... -866 meV per atom
Relative energy among the computed polymorphs ... 0.0 meV per atom
DFT total energy ... -5.19 eV per atom

=====

total magnetic moment of number 8 (MnSiMo)?
0.000 μB/atom